First-principles (PBE-GGA) data for a geometry-optimized Y3CoB7 structure, as listed in Alexandria via LeMat-Bulk.

Cell: 3.409 15.756 9.341 Å, 90.00 90.00 90.00°
Space group Cmcm (No. 63)
Inequivalent atoms, fractional coordinates:
Y 0.000 0.105 0.061 x8
Y 0.000 0.244 0.750 x4
Co 0.000 0.054 0.750 x4
B 0.000 0.272 0.033 x8
B 0.000 0.370 0.153 x8
B 0.000 0.461 0.750 x4
B 0.000 0.478 0.098 x8

Values from the calculation:
- formation enthalpy at 0 K (eV/f.u.) = -6.2
- density (g cm⁻³) = 5.3

=====

First-principles (PBE-GGA) data for a geometry-optimized Y2Co7B3 structure, as listed in Alexandria via LeMat-Bulk.

Cell: 5.0299 5.0299 12.7560 Å, 90.00 90.00 120.00°
Space group P6/mmm (No. 191)
Inequivalent atoms, fractional coordinates:
Y 0.0000 0.0000 0.0000 x1
Y 0.0000 0.0000 0.2391 x2
Y 0.0000 0.0000 0.5000 x1
Co 0.0000 0.5000 0.1157 x6
Co 0.0000 0.5000 0.3454 x6
Co 0.3333 0.6667 0.5000 x2
B 0.3333 0.6667 0.0000 x2
B 0.3333 0.6667 0.2314 x4

Values from the calculation:
- formation enthalpy at 0 K (eV/f.u.) = -4.7
- density (g cm⁻³) = 7.4

=====

First-principles (PBE-GGA) data for a geometry-optimized YCo3B2 structure, as listed in Alexandria via LeMat-Bulk.

Cell: 5.0047 5.0047 3.0206 Å, 90.00 90.00 120.00°
Space group P6/mmm (No. 191)
Inequivalent atoms, fractional coordinates:
Y 0.0000 0.0000 0.0000 x1
Co 0.0000 0.5000 0.5000 x3
B 0.3333 0.6667 0.0000 x2

Values from the calculation:
- formation enthalpy at 0 K (eV/f.u.) = -2.9
- density (g cm⁻³) = 7.3

=====

First-principles (PBE-GGA) data for a geometry-optimized Y3Co3B8 structure, as listed in Alexandria via LeMat-Bulk.

Cell: 3.242 8.967 10.323 Å, 90.00 90.00 90.00°
Space group Immm (No. 71)
Inequivalent atoms, fractional coordinates:
Y 0.000 0.000 0.000 x2
Y 0.000 0.000 0.296 x4
Co 0.000 0.221 0.500 x4
Co 0.000 0.500 0.000 x2
B 0.000 0.279 0.136 x8
B 0.000 0.305 0.319 x8

Values from the calculation:
- formation enthalpy at 0 K (eV/f.u.) = -3.3
- density (g cm⁻³) = 5.9

=====

First-principles (PBE-GGA) data for a geometry-optimized YCo2B2 structure, as listed in Alexandria via LeMat-Bulk.

Cell: 3.547 3.547 9.440 Å, 90.00 90.00 90.00°
Space group I4/mmm (No. 139)
Inequivalent atoms, fractional coordinates:
Y 0.000 0.000 0.000 x2
Co 0.000 0.500 0.250 x4
B 0.000 0.000 0.349 x4

Values from the calculation:
- formation enthalpy at 0 K (eV/f.u.) = -2.8
- density (g cm⁻³) = 6.4

=====

First-principles (PBE-GGA) data for a geometry-optimized YCo22B6 structure, as listed in Alexandria via LeMat-Bulk.

Cell: 10.558 10.558 10.558 Å, 90.00 90.00 90.00°
Space group Fm-3m (No. 225)
Inequivalent atoms, fractional coordinates:
Y 0.000 0.000 0.000 x4
Co 0.000 0.175 0.175 x48
Co 0.119 0.119 0.381 x32
Co 0.250 0.250 0.250 x8
B 0.000 0.000 0.273 x24

Values from the calculation:
- formation enthalpy at 0 K (eV/f.u.) = -3.0
- density (g cm⁻³) = 8.2

=====

First-principles (PBE-GGA) data for a geometry-optimized YCo4B structure, as listed in Alexandria via LeMat-Bulk.

Cell: 4.043 13.458 5.542 Å, 90.00 90.00 90.00°
Space group Cmcm (No. 63)
Inequivalent atoms, fractional coordinates:
Y 0.000 0.095 0.250 x4
Co 0.000 0.131 0.750 x4
Co 0.000 0.293 0.502 x8
Co 0.000 0.500 0.000 x4
B 0.000 0.397 0.250 x4

Values from the calculation:
- formation enthalpy at 0 K (eV/f.u.) = -0.7
- density (g cm⁻³) = 7.4

=====

First-principles (PBE-GGA) data for a geometry-optimized YCo6B4 structure, as listed in Alexandria via LeMat-Bulk.

Cell: 6.1415 6.1415 3.2699 Å, 90.00 90.00 120.00°
Space group P-6m2 (No. 187)
Inequivalent atoms, fractional coordinates:
Y 0.0000 0.0000 0.0000 x1
Co 0.2039 0.4078 0.5000 x3
Co 0.5350 0.0699 0.0000 x3
B 0.3333 0.6667 0.0000 x1
B 0.4232 0.2116 0.5000 x3

Values from the calculation:
- formation enthalpy at 0 K (eV/f.u.) = -3.1
- density (g cm⁻³) = 7.6

=====

First-principles (PBE-GGA) data for a geometry-optimized Y2Co2B3 structure, as listed in Alexandria via LeMat-Bulk.

Cell: 9.516 3.806 5.821 Å, 90.00 113.23 90.00°
Space group C2/m (No. 12)
Inequivalent atoms, fractional coordinates:
Y 0.112 0.000 0.297 x4
Co 0.207 0.000 0.861 x4
B 0.000 0.500 0.500 x2
B 0.125 0.500 0.794 x4

Values from the calculation:
- formation enthalpy at 0 K (eV/f.u.) = -1.9
- density (g cm⁻³) = 5.6

=====

First-principles (PBE-GGA) data for a geometry-optimized YCo2B4 structure, as listed in Alexandria via LeMat-Bulk.

Cell: 3.090 3.261 13.716 Å, 90.00 90.00 90.00°
Space group Immm (No. 71)
Inequivalent atoms, fractional coordinates:
Y 0.000 0.000 0.000 x2
Co 0.000 0.500 0.307 x4
B 0.000 0.000 0.394 x4
B 0.000 0.500 0.159 x4

Values from the calculation:
- formation enthalpy at 0 K (eV/f.u.) = -2.4
- density (g cm⁻³) = 6.0

=====

First-principles (PBE-GGA) data for a geometry-optimized YCo8B4 structure, as listed in Alexandria via LeMat-Bulk.

Cell: 7.593 7.593 4.382 Å, 90.00 90.00 90.00°
Space group I4/mmm (No. 139)
Inequivalent atoms, fractional coordinates:
Y 0.000 0.000 0.000 x2
Co 0.000 0.229 0.500 x8
Co 0.000 0.346 0.000 x8
B 0.250 0.250 0.250 x8

Values from the calculation:
- formation enthalpy at 0 K (eV/f.u.) = -1.0
- density (g cm⁻³) = 7.9

=====

First-principles (PBE-GGA) data for a geometry-optimized Y2CoB10 structure, as listed in Alexandria via LeMat-Bulk.

Cell: 5.551 11.092 4.147 Å, 90.00 90.00 90.00°
Space group Pbam (No. 55)
Inequivalent atoms, fractional coordinates:
Y 0.198 0.134 0.000 x4
Co 0.000 0.500 0.500 x2
B 0.030 0.314 0.500 x4
B 0.128 0.960 0.500 x4
B 0.158 0.802 0.500 x4
B 0.200 0.387 0.200 x8

Values from the calculation:
- formation enthalpy at 0 K (eV/f.u.) = -6.8
- density (g cm⁻³) = 4.5

=====

First-principles (PBE-GGA) data for a geometry-optimized YCoB3 structure, as listed in Alexandria via LeMat-Bulk.

Cell: 3.056 15.696 4.559 Å, 90.00 90.00 90.00°
Space group Cmcm (No. 63)
Inequivalent atoms, fractional coordinates:
Y 0.000 0.079 0.250 x4
Co 0.000 0.390 0.250 x4
B 0.000 0.194 0.750 x4
B 0.000 0.289 0.546 x8

Values from the calculation:
- formation enthalpy at 0 K (eV/f.u.) = -0.4
- density (g cm⁻³) = 5.5

=====

First-principles (PBE-GGA) data for a geometry-optimized YCo4B structure, as listed in Alexandria via LeMat-Bulk.

Cell: 4.9998 4.9998 3.4769 Å, 90.00 90.00 120.00°
Space group P-6m2 (No. 187)
Inequivalent atoms, fractional coordinates:
Y 0.0000 0.0000 0.0000 x1
Co 0.0187 0.5094 0.5000 x3
Co 0.6667 0.3333 0.0000 x1
B 0.3333 0.6667 0.0000 x1

Values from the calculation:
- formation enthalpy at 0 K (eV/f.u.) = -0.9
- density (g cm⁻³) = 7.4

=====

First-principles (PBE-GGA) data for a geometry-optimized Y2Co3B structure, as listed in Alexandria via LeMat-Bulk.

Cell: 3.149 4.389 14.143 Å, 90.00 90.00 90.00°
Space group Immm (No. 71)
Inequivalent atoms, fractional coordinates:
Y 0.000 0.000 0.177 x4
Co 0.000 0.500 0.085 x4
Co 0.000 0.500 0.500 x2
B 0.000 0.000 0.500 x2

Values from the calculation:
- formation enthalpy at 0 K (eV/f.u.) = 1.2
- density (g cm⁻³) = 6.2

=====

First-principles (PBE-GGA) data for a geometry-optimized YCo4B structure, as listed in Alexandria via LeMat-Bulk.

Cell: 5.0083 5.0083 6.8339 Å, 90.00 90.00 120.00°
Space group P6/mmm (No. 191)
Inequivalent atoms, fractional coordinates:
Y 0.0000 0.0000 0.0000 x1
Y 0.0000 0.0000 0.5000 x1
Co 0.0000 0.5000 0.2122 x6
Co 0.3333 0.6667 0.5000 x2
B 0.3333 0.6667 0.0000 x2

Values from the calculation:
- formation enthalpy at 0 K (eV/f.u.) = -1.8
- density (g cm⁻³) = 7.5

=====

First-principles (PBE-GGA) data for a geometry-optimized YCoB3 structure, as listed in Alexandria via LeMat-Bulk.

Cell: 3.855 3.855 3.855 Å, 90.00 90.00 90.00°
Space group Pm-3m (No. 221)
Inequivalent atoms, fractional coordinates:
Y 0.000 0.000 0.000 x1
Co 0.500 0.500 0.500 x1
B 0.000 0.500 0.500 x3

Values from the calculation:
- formation enthalpy at 0 K (eV/f.u.) = 0.8
- density (g cm⁻³) = 5.2

=====

First-principles (PBE-GGA) data for a geometry-optimized YCo12B4 structure, as listed in Alexandria via LeMat-Bulk.

Cell: 7.226 7.226 7.226 Å, 90.00 90.00 90.00°
Space group Im-3 (No. 204)
Inequivalent atoms, fractional coordinates:
Y 0.000 0.000 0.000 x2
Co 0.000 0.343 0.177 x24
B 0.250 0.250 0.250 x8

Values from the calculation:
- formation enthalpy at 0 K (eV/f.u.) = 1.5
- density (g cm⁻³) = 7.4

=====

First-principles (PBE-GGA) data for a geometry-optimized YCo3B structure, as listed in Alexandria via LeMat-Bulk.

Cell: 5.955 9.608 4.853 Å, 90.00 90.00 90.00°
Space group Cmcm (No. 63)
Inequivalent atoms, fractional coordinates:
Y 0.000 0.080 0.250 x4
Co 0.000 0.500 0.000 x4
Co 0.193 0.208 0.750 x8
B 0.000 0.336 0.250 x4

Values from the calculation:
- formation enthalpy at 0 K (eV/f.u.) = 1.5
- density (g cm⁻³) = 6.6

=====

First-principles (PBE-GGA) data for a geometry-optimized Y2CoB structure, as listed in Alexandria via LeMat-Bulk.

Cell: 6.922 6.922 6.795 Å, 90.00 90.00 90.00°
Space group I-42d (No. 122)
Inequivalent atoms, fractional coordinates:
Y 0.237 0.250 0.125 x8
Co 0.000 0.000 0.500 x4
B 0.000 0.000 0.000 x4

Values from the calculation:
- formation enthalpy at 0 K (eV/f.u.) = 2.0
- density (g cm⁻³) = 5.1